Arrangement i

This record from Alexandria describes a geometry-optimized VNi4Pd2 structure. The functional is PBE.

Computed properties:
SG: No. 139

abc: 4.2522 4.2522 6.7562
angles: 108.34 108.34 90.00
Closest atoms and distances in Å follow each position.
Atoms (fractional coordinates):
V1 0.0000 0.0000 0.0000  6 Ni 2.13
Ni1 0.5000 0.0000 0.0000  2 V 2.13
Ni2 0.8237 0.8237 0.6474  1 V 2.13
Ni3 0.0000 0.5000 0.0000  2 V 2.13
Ni4 0.1763 0.1763 0.3526  1 V 2.13
Pd1 0.3801 0.3801 0.7601  5 Ni 2.47-2.57
Pd2 0.6199 0.6199 0.2399  5 Ni 2.47-2.57

***

Arrangement ii

This record from Alexandria describes a geometry-optimized VNi4Pd2 structure. The functional is PBE.

Computed properties:
SG: No. 1

abc: 5.2774 5.7363 6.8832
angles: 114.50 100.99 103.29
Closest atoms and distances in Å follow each position.
Atoms (fractional coordinates):
Pd1 0.6312 0.4215 0.6868  6 Ni 2.54-2.74, 2 V 2.59-2.67, 4 Pd 2.63-2.74
Pd2 0.1269 0.4083 0.6776  7 Ni 2.58-2.70, 2 V 2.58-2.67, 3 Pd 2.63-2.69
Pd3 0.4827 0.2807 0.2487  8 Ni 2.57-2.69, 2 V 2.59-2.67, 2 Pd 2.67-2.74
Pd4 0.6894 0.9573 0.3851  1 V 2.53, 8 Ni 2.54-2.72, 3 Pd 2.69-2.74
Ni1 0.3420 0.1167 0.8221  2 V 2.45-2.56, 7 Ni 2.47-2.67, 3 Pd 2.57-2.63
Ni2 0.1869 0.9657 0.3831  5 Ni 2.48-2.68, 2 V 2.48-2.53, 5 Pd 2.62-2.74
Ni3 0.7793 0.5510 0.1015  7 Ni 2.49-2.69, 3 Pd 2.54-2.58, 1 V 2.54
Ni4 0.5512 0.8407 0.9608  5 Ni 2.46-2.64, 4 Pd 2.55-2.64, 3 V 2.56-2.65
Ni5 0.9800 0.2738 0.2422  6 Ni 2.48-2.68, 2 V 2.55-2.62, 4 Pd 2.64-2.72
Ni6 0.2512 0.5542 0.1018  6 Ni 2.49-2.67, 2 V 2.54-2.67, 3 Pd 2.57-2.59
Ni7 0.8400 0.1062 0.8295  2 V 2.44-2.56, 7 Ni 2.46-2.65, 3 Pd 2.70-2.73
Ni8 0.9359 0.7122 0.5456  2 V 2.45-2.61, 5 Ni 2.47-2.69, 4 Pd 2.54-2.69
V1 0.0547 0.8495 0.9724  9 Ni 2.44-2.65, 3 Pd 2.59-2.67
V2 0.3987 0.7122 0.5428  7 Ni 2.45-2.67, 4 Pd 2.53-2.67

***

Of them, arrangement ii has the highest stability.

***

Arrangement i

This record from Alexandria describes a geometry-optimized VNi3Pd structure. The functional is PBE.

Computed properties:
SG: No. 63

abc: 3.8326 4.9899 6.7593
angles: 90.00 106.46 90.00
Closest atoms and distances in Å follow each position.
Atoms (fractional coordinates):
Ni1 0.5964 0.0029 0.6928  5 Ni 2.47-2.52, 4 V 2.55-2.66, 2 Pd 2.71
Ni2 0.4036 0.5029 0.3072  5 Ni 2.47-2.52, 4 V 2.55-2.66, 2 Pd 2.71
Ni3 0.8317 0.2500 0.1630  1 V 2.29, 4 Ni 2.48, 4 Pd 2.48-2.55
Ni4 0.1683 0.7500 0.8370  1 V 2.29, 4 Ni 2.48, 4 Pd 2.48-2.55
Ni5 0.5964 0.4971 0.6928  5 Ni 2.47-2.52, 4 V 2.55-2.66, 2 Pd 2.71
Ni6 0.4036 0.9971 0.3072  5 Ni 2.47-2.52, 4 V 2.55-2.66, 2 Pd 2.71
Pd1 0.7899 0.7500 0.0802  8 Ni 2.48-2.71, 1 V 2.62
Pd2 0.2101 0.2500 0.9198  8 Ni 2.48-2.71, 1 V 2.62
V1 0.9921 0.7500 0.4840  5 Ni 2.29-2.55, 2 V 2.50
V2 0.0079 0.2500 0.5160  5 Ni 2.29-2.55, 2 V 2.50

***

Arrangement ii

This record from Alexandria describes a geometry-optimized VNi3Pd structure. The functional is PBE.

Computed properties:
SG: No. 119

abc: 4.4385 4.4385 8.6398
angles: 104.88 104.88 90.00
Closest atoms and distances in Å follow each position.
Atoms (fractional coordinates):
Pd1 0.9192 0.4192 0.8384  2 V 2.57, 6 Ni 2.59-2.66
Pd2 0.5808 0.0808 0.1616  2 V 2.57, 6 Ni 2.59-2.66
Ni1 0.6715 0.6715 0.3429  2 V 2.55, 4 Ni 2.58, 2 Pd 2.66
Ni2 0.1274 0.3783 0.2548  2 Ni 2.21-2.23, 2 V 2.26-2.33
Ni3 0.3285 0.3285 0.6571  2 V 2.55, 4 Ni 2.58, 2 Pd 2.66
Ni4 0.1274 0.8765 0.2548  2 Ni 2.21-2.23, 2 V 2.26-2.33
Ni5 0.6217 0.8726 0.7452  2 Ni 2.21-2.23, 2 V 2.26-2.33
Ni6 0.1235 0.8726 0.7452  2 Ni 2.21-2.23, 2 V 2.26-2.33
V1 0.0000 0.0000 0.0000  4 Ni 2.33, 4 Pd 2.57
V2 0.2500 0.7500 0.5000  4 Ni 2.26

***

Arrangement iii

This record from Alexandria describes a geometry-optimized VNi3Pd structure. The functional is PBE.

Computed properties:
SG: No. 221

abc: 4.2185 4.2185 4.2185
angles: 90.00 90.00 90.00
Closest atoms and distances in Å follow each position.
Atoms (fractional coordinates):
V1 0.0000 0.0000 0.0000  6 Ni 2.11
Ni1 0.0000 0.0000 0.5000  2 V 2.11
Ni2 0.5000 0.0000 0.0000  2 V 2.11
Ni3 0.0000 0.5000 0.0000  2 V 2.11
Pd1 0.5000 0.5000 0.5000  12 Ni 2.98

***

Of them, arrangement i has the highest stability.

***

Arrangement i

This record from Alexandria describes a geometry-optimized VNi2Pd4 structure. The functional is PBE.

Computed properties:
SG: No. 11

abc: 6.3409 5.0668 7.1767
angles: 90.00 119.05 90.00
Closest atoms and distances in Å follow each position.
Atoms (fractional coordinates):
Ni1 0.4515 0.2500 0.4628  1 V 2.38, 3 Pd 2.59-2.63, 2 Ni 2.60
Ni2 0.7987 0.7500 0.0136  1 V 2.36, 4 Pd 2.54-2.57
Ni3 0.5485 0.7500 0.5372  1 V 2.38, 3 Pd 2.59-2.63, 2 Ni 2.60
Ni4 0.2013 0.2500 0.9864  1 V 2.36, 4 Pd 2.54-2.57
Pd1 0.5944 0.9984 0.2224  4 Pd 2.52-2.81, 1 V 2.55, 4 Ni 2.57-2.72
Pd2 0.4056 0.0016 0.7776  4 Pd 2.52-2.81, 1 V 2.55, 4 Ni 2.57-2.72
Pd3 0.0547 0.7500 0.4208  1 V 2.43, 1 Ni 2.56
Pd4 0.9453 0.2500 0.5792  1 V 2.43, 1 Ni 2.56
Pd5 0.5944 0.5016 0.2224  4 Pd 2.52-2.81, 1 V 2.55, 4 Ni 2.57-2.72
Pd6 0.0100 0.7500 0.7900  1 V 2.45, 2 Ni 2.54-2.59
Pd7 0.9900 0.2500 0.2100  1 V 2.45, 2 Ni 2.54-2.59
Pd8 0.4056 0.4984 0.7776  4 Pd 2.52-2.81, 1 V 2.55, 4 Ni 2.57-2.72
V1 0.2238 0.7500 0.1805  2 Ni 2.36-2.38, 4 Pd 2.43-2.55
V2 0.7762 0.2500 0.8195  2 Ni 2.36-2.38, 4 Pd 2.43-2.55

***

Arrangement ii

This record from Alexandria describes a geometry-optimized VNi2Pd4 structure. The functional is PBE.

Computed properties:
SG: No. 12

abc: 4.9458 4.9458 4.6753
angles: 90.66 90.66 117.34
Closest atoms and distances in Å follow each position.
Atoms (fractional coordinates):
Ni1 0.5422 0.5422 0.2553  2 Ni 2.34-2.42
Ni2 0.4578 0.4578 0.7447  2 Ni 2.34-2.42
Pd1 0.5000 0.0000 0.0000  2 V 2.47, 4 Pd 2.57-2.74, 2 Ni 2.66
Pd2 0.0000 0.5000 0.0000  2 V 2.47, 4 Pd 2.57-2.74, 2 Ni 2.66
Pd3 0.8369 0.1631 0.5000  2 V 2.71, 7 Pd 2.74-2.96, 2 Ni 2.94
Pd4 0.1631 0.8369 0.5000  2 V 2.71, 7 Pd 2.74-2.96, 2 Ni 2.94
V1 0.0000 0.0000 0.0000  8 Pd 2.47-2.71, 2 Ni 2.66

***

Of them, arrangement i has the highest stability.